# 1
The following is a DFT calculation (PBE) of SrLiPmEu after structural relaxation.

## Properties
- space-group type = F-43m (216)
- formation enthalpy at 0 K (meV per atom) = 228

abc: 5.9701 5.9701 5.9701
angles: 60.00 60.00 60.00
Last column: nearest neighbours and their distance in Å.
Atoms (fractional coordinates):
Sr 0.0000 0.0000 0.0000  4 Li 3.66, 4 Eu 3.66
Li 0.7500 0.7500 0.7500  4 Pm 3.66, 4 Sr 3.66
Pm 0.5000 0.5000 0.5000  4 Li 3.66, 4 Eu 3.66
Eu 0.2500 0.2500 0.2500  4 Pm 3.66, 4 Sr 3.66

=====

# 2
The following is a DFT calculation (PBE) of LiPmEuTc after structural relaxation.

## Properties
- space-group type = F-43m (216)
- formation enthalpy at 0 K (meV per atom) = 237

abc: 5.0635 5.0635 5.0635
angles: 60.00 60.00 60.00
Last column: nearest neighbours and their distance in Å.
Atoms (fractional coordinates):
Li 0.0000 0.0000 0.0000  4 Pm 3.10, 4 Eu 3.10
Pm 0.7500 0.7500 0.7500  4 Tc 3.10, 4 Li 3.10
Eu 0.2500 0.2500 0.2500  4 Tc 3.10, 4 Li 3.10
Tc 0.5000 0.5000 0.5000  4 Pm 3.10, 4 Eu 3.10

=====

# 3
The following is a DFT calculation (PBE) of LiPmEuTl after structural relaxation.

## Properties
- space-group type = F-43m (216)
- formation enthalpy at 0 K (meV per atom) = -190

abc: 5.5001 5.5001 5.5001
angles: 60.00 60.00 60.00
Last column: nearest neighbours and their distance in Å.
Atoms (fractional coordinates):
Li 0.0000 0.0000 0.0000  4 Eu 3.37, 4 Pm 3.37
Pm 0.2500 0.2500 0.2500  4 Tl 3.37, 4 Li 3.37
Eu 0.7500 0.7500 0.7500  4 Tl 3.37, 4 Li 3.37
Tl 0.5000 0.5000 0.5000  4 Eu 3.37, 4 Pm 3.37

=====

# 4
The following is a DFT calculation (PBE) of LiPmEuTm after structural relaxation.

## Properties
- space-group type = F-43m (216)
- formation enthalpy at 0 K (meV per atom) = 194

abc: 5.6373 5.6373 5.6373
angles: 60.00 60.00 60.00
Last column: nearest neighbours and their distance in Å.
Atoms (fractional coordinates):
Li 0.0000 0.0000 0.0000  4 Pm 3.45, 4 Eu 3.45
Pm 0.7500 0.7500 0.7500  4 Li 3.45, 4 Tm 3.45
Eu 0.2500 0.2500 0.2500  4 Li 3.45, 4 Tm 3.45
Tm 0.5000 0.5000 0.5000  4 Pm 3.45, 4 Eu 3.45

=====

# 5
The following is a DFT calculation (PBE) of LiPmEuY after structural relaxation.

## Properties
- space-group type = F-43m (216)
- formation enthalpy at 0 K (meV per atom) = 225

abc: 5.6830 5.6830 5.6830
angles: 60.00 60.00 60.00
Last column: nearest neighbours and their distance in Å.
Atoms (fractional coordinates):
Li 0.0000 0.0000 0.0000  4 Eu 3.48, 4 Y 3.48
Pm 0.5000 0.5000 0.5000  4 Eu 3.48, 4 Y 3.48
Eu 0.7500 0.7500 0.7500  4 Pm 3.48, 4 Li 3.48
Y 0.2500 0.2500 0.2500  4 Li 3.48, 4 Pm 3.48

=====

# 6
The following is a DFT calculation (PBE) of LiPmEuZn after structural relaxation.

## Properties
- space-group type = F-43m (216)
- formation enthalpy at 0 K (meV per atom) = -76

abc: 5.3220 5.3220 5.3220
angles: 60.00 60.00 60.00
Last column: nearest neighbours and their distance in Å.
Atoms (fractional coordinates):
Li 0.0000 0.0000 0.0000  4 Pm 3.26, 4 Eu 3.26
Pm 0.7500 0.7500 0.7500  4 Li 3.26, 4 Zn 3.26
Eu 0.2500 0.2500 0.2500  4 Li 3.26, 4 Zn 3.26
Zn 0.5000 0.5000 0.5000  4 Pm 3.26, 4 Eu 3.26

=====

# 7
The following is a DFT calculation (PBE) of LiPrEu2 after structural relaxation.

## Properties
- space-group type = P4/mmm (123)
- formation enthalpy at 0 K (meV per atom) = 72

abc: 3.8578 3.8578 9.4459
angles: 90.00 90.00 90.00
Last column: nearest neighbours and their distance in Å.
Atoms (fractional coordinates):
Li 0.0000 0.0000 0.0000  8 Eu 3.43
Pr 0.0000 0.0000 0.5000  8 Eu 3.79, 4 Pr 3.86
Eu 0.5000 0.5000 0.2209  4 Li 3.43, 4 Pr 3.79
Eu 0.5000 0.5000 0.7791  4 Li 3.43, 4 Pr 3.79

=====

# 8
The following is a DFT calculation (PBE) of LiPrEu2 after structural relaxation.

## Properties
- space-group type = R-3m (166)
- formation enthalpy at 0 K (meV per atom) = 94

abc: 12.1955 12.1955 12.1955
angles: 17.58 17.58 17.58
Last column: nearest neighbours and their distance in Å.
Atoms (fractional coordinates):
Li 0.0000 0.0000 0.0000  6 Eu 3.57, 6 Li 3.73
Pr 0.5000 0.5000 0.5000  6 Pr 3.73, 6 Eu 3.81
Eu 0.2541 0.2541 0.2541  3 Li 3.57, 6 Eu 3.73, 3 Pr 3.81
Eu 0.7459 0.7459 0.7459  3 Li 3.57, 6 Eu 3.73, 3 Pr 3.81

=====

| no. | mass density (Mg/m³) |
| --- | --- |
| 1 | 4.321 |
| 2 | 7.270 |
| 3 | 7.174 |
| 4 | 6.198 |
| 5 | 5.026 |
| 6 | 5.754 |
| 7 | 5.336 |
| 8 | 5.194 |